# LaTlPt2

A relaxed structure of LaTlPt2 (GGA-PBEsol, the Alexandria database).

Results
N(E_F): 1.2 states/eV/f.u.
formation enthalpy at 0 K: -704 meV per atom
V: 175 Å³ per cell
spin magnetization: 0.0000 μB/atom

Cell: 4.2205 3.9849 10.4230 Å, 90.00 90.00 90.00°
With the nearest neighbours (Å) after each atom.
Space group Amm2 (No. 38)
One atom of each set of equivalent atoms:
La  0.0000  0.0000  0.0000 x2  7 Pt 2.84-3.10
Tl  0.5000  0.0000  0.2908 x2  7 Pt 2.83-3.10
Pt  0.0000  0.0000  0.7278 x2  2 Pt 2.73, 1 La 2.84, 4 Tl 2.98
Pt  0.5000  0.0000  0.5624 x2  2 Pt 2.73, 1 Tl 2.83, 4 La 2.97

# GaRe3Te

A relaxed structure of GaRe3Te (GGA-PBEsol, the Alexandria database).

Results
N(E_F): 6.2 states/eV/f.u.
uncorrected energy: -0.246 Ha/atom
V: 110 Å³ per cell
spin magnetization: 0.4695 μB/atom

Cell: 4.7890 4.7890 4.7890 Å, 90.00 90.00 90.00°
With the nearest neighbours (Å) after each atom.
Space group Pm-3m (No. 221)
One atom of each set of equivalent atoms:
Ga  0.0000  0.0000  0.0000 x1  12 Re 3.39
Re  0.0000  0.5000  0.5000 x3  2 Te 2.39
Te  0.5000  0.5000  0.5000 x1  6 Re 2.39

# Er8Ga3Co

A relaxed structure of Er8Ga3Co (GGA-PBEsol, the Alexandria database).

Results
N(E_F): 2.1 states/eV/f.u.
formation enthalpy at 0 K: -441 meV per atom
V: 554 Å³ per cell
spin magnetization: 0.0000 μB/atom

Cell: 9.7665 9.7665 6.7083 Å, 90.00 90.00 120.00°
With the nearest neighbours (Å) after each atom.
Space group P6_3mc (No. 186)
One atom of each set of equivalent atoms:
Er  0.0000  0.0000  0.0000 x2  6 Ga 3.17-3.30, 8 Er 3.28-3.47
Er  0.0709  0.5355  0.0215 x6  1 Co 2.72
Er  0.1730  0.3459  0.7212 x6  1 Co 2.75, 3 Ga 2.87-3.04
Er  0.3333  0.6667  0.4007 x2  1 Co 2.60
Ga  0.1635  0.3270  0.2688 x6  7 Er 2.87-3.17
Co  0.3333  0.6667  0.7883 x2  7 Er 2.60-2.75

# Y4Sb6Rh7

A relaxed structure of Y4Sb6Rh7 (GGA-PBEsol, the Alexandria database).

Results
N(E_F): 7.3 states/eV/f.u.
uncorrected energy: -0.275 Ha/atom
V: 650 Å³ per cell
spin magnetization: 0.0000 μB/atom

Cell: 8.6628 8.6628 8.6628 Å, 90.00 90.00 90.00°
With the nearest neighbours (Å) after each atom.
Space group Im-3m (No. 229)
One atom of each set of equivalent atoms:
Y  0.2500  0.2500  0.2500 x8  6 Rh 3.06, 6 Sb 3.12
Sb  0.0000  0.0000  0.3167 x12  5 Rh 2.69-2.74
Rh  0.0000  0.0000  0.0000 x2  6 Sb 2.74
Rh  0.0000  0.2500  0.5000 x12  4 Sb 2.69

# CaAl2Si2

A relaxed structure of CaAl2Si2 (GGA-PBEsol, the Alexandria database).

Results
N(E_F): 0.7 states/eV/f.u.
uncorrected energy: -0.171 Ha/atom
V: 103 Å³ per cell
spin magnetization: 0.0000 μB/atom

Cell: 4.1319 4.1319 6.9738 Å, 90.00 90.00 120.00°
With the nearest neighbours (Å) after each atom.
Space group P-3m1 (No. 164)
One atom of each set of equivalent atoms:
Ca  0.0000  0.0000  0.0000 x1  6 Si 3.00
Al  0.3333  0.6667  0.6312 x2  4 Si 2.50-2.58
Si  0.3333  0.6667  0.2609 x2  4 Al 2.50-2.58

# GaB2Ru2

A relaxed structure of GaB2Ru2 (GGA-PBEsol, the Alexandria database).

Results
N(E_F): 1.8 states/eV/f.u.
formation enthalpy at 0 K: -326 meV per atom
V: 106 Å³ per cell
spin magnetization: 0.0000 μB/atom

Cell: 2.8880 2.8880 12.7466 Å, 90.00 90.00 90.00°
With the nearest neighbours (Å) after each atom.
Space group I4/mmm (No. 139)
One atom of each set of equivalent atoms:
Ga  0.0000  0.0000  0.0000 x2  8 Ru 2.57
B  0.0000  0.5000  0.2500 x4  4 B 2.04, 4 Ru 2.17
Ru  0.0000  0.0000  0.3770 x4  4 B 2.17

# SmErIr2

A relaxed structure of SmErIr2 (GGA-PBEsol, the Alexandria database).

Results
N(E_F): 2.0 states/eV/f.u.
formation enthalpy at 0 K: -710 meV per atom
V: 314 Å³ per cell
spin magnetization: 0.0001 μB/atom

Cell: 6.7990 6.7990 6.7990 Å, 90.00 90.00 90.00°
With the nearest neighbours (Å) after each atom.
Space group Fm-3m (No. 225)
One atom of each set of equivalent atoms:
Sm  0.0000  0.0000  0.0000 x4  8 Ir 2.94
Er  0.0000  0.0000  0.5000 x4  8 Ir 2.94
Ir  0.2500  0.2500  0.2500 x8  4 Er 2.94, 4 Sm 2.94

# Fe4Si3

A relaxed structure of Fe4Si3 (GGA-PBEsol, the Alexandria database).

Results
N(E_F): 4.3 states/eV/f.u.
uncorrected energy: -0.278 Ha/atom
V: 79 Å³ per cell
spin magnetization: 1.0936 μB/atom

Cell: 4.6008 4.6008 4.3284 Å, 90.00 90.00 120.00°
With the nearest neighbours (Å) after each atom.
Space group P6/mmm (No. 191)
One atom of each set of equivalent atoms:
Fe  0.0000  0.0000  0.2474 x2  2 Fe 2.14-2.19
Fe  0.3333  0.6667  0.0000 x2  6 Si 2.54, 3 Fe 2.66
Si  0.0000  0.5000  0.5000 x3  4 Si 2.30, 8 Fe 2.54-2.55

# TlSnGeIr2

A relaxed structure of TlSnGeIr2 (GGA-PBEsol, the Alexandria database).

Results
N(E_F): 3.8 states/eV/f.u.
formation enthalpy at 0 K: 1543 meV per atom
V: 128 Å³ per cell
spin magnetization: 0.0001 μB/atom

Cell: 4.8743 4.8743 5.3719 Å, 90.00 90.00 90.00°
With the nearest neighbours (Å) after each atom.
Space group P4/mmm (No. 123)
One atom of each set of equivalent atoms:
Tl  0.0000  0.0000  0.0000 x1  2 Sn 2.69
Sn  0.0000  0.0000  0.5000 x1  4 Ir 2.44, 2 Tl 2.69
Ge  0.5000  0.5000  0.0000 x1  4 Tl 3.45, 8 Ir 3.63
Ir  0.0000  0.5000  0.5000 x2  2 Sn 2.44

# Tm2CoCu

A relaxed structure of Tm2CoCu (GGA-PBEsol, the Alexandria database).

Results
N(E_F): 3.0 states/eV/f.u.
formation enthalpy at 0 K: -241 meV per atom
V: 284 Å³ per cell
spin magnetization: 0.0000 μB/atom

Cell: 6.5761 6.5761 6.5761 Å, 90.00 90.00 90.00°
With the nearest neighbours (Å) after each atom.
Space group Fm-3m (No. 225)
One atom of each set of equivalent atoms:
Tm  0.2500  0.2500  0.2500 x8  4 Co 2.85, 4 Cu 2.85
Co  0.0000  0.0000  0.0000 x4  8 Tm 2.85
Cu  0.0000  0.0000  0.5000 x4  8 Tm 2.85

# CdSi2Os

A relaxed structure of CdSi2Os (GGA-PBEsol, the Alexandria database).

Results
N(E_F): 2.5 states/eV/f.u.
uncorrected energy: -0.217 Ha/atom
V: 133 Å³ per cell
spin magnetization: 0.0001 μB/atom

Cell: 2.8925 4.8299 9.4971 Å, 90.00 90.00 90.00°
With the nearest neighbours (Å) after each atom.
Space group Cmmm (No. 65)
One atom of each set of equivalent atoms:
Cd  0.0000  0.0000  0.0000 x2  6 Cd 2.81-2.89, 4 Si 3.13
Si  0.0000  0.5000  0.2926 x4  2 Os 2.44
Os  0.0000  0.0000  0.5000 x2  4 Si 2.44

# LuZnCuAs2

A relaxed structure of LuZnCuAs2 (GGA-PBEsol, the Alexandria database).

Results
N(E_F): 0.2 states/eV/f.u.
formation enthalpy at 0 K: -635 meV per atom
V: 92 Å³ per cell
spin magnetization: 0.0000 μB/atom

Cell: 4.0221 4.0221 6.5555 Å, 90.00 90.00 120.00°
With the nearest neighbours (Å) after each atom.
Space group P3m1 (No. 156)
One atom of each set of equivalent atoms:
Lu  0.0000  0.0000  0.0000 x1  6 As 2.77-2.88
Zn  0.3333  0.6667  0.6054 x1  4 As 2.46-2.48
Cu  0.6667  0.3333  0.3453 x1  4 As 2.44-2.58
As  0.3333  0.6667  0.2302 x1  3 Cu 2.44, 1 Zn 2.46
As  0.6667  0.3333  0.7390 x1  3 Zn 2.48, 1 Cu 2.58